(1)
Entry from Alexandria via LeMat-Bulk: a relaxed structure of PrEu3 (GGA-PBEsol).

The value obtained for the energy of formation is 0.045 eV per atom.

a b c (Å): 6.004 7.451 7.451
angles (deg): 120.00 90.00 90.00
Fractional coordinates of all 8 atoms:
Pr (0.750, 0.333, 0.667)
Pr (0.250, 0.667, 0.333)
Eu (0.250, 0.664, 0.832)
Eu (0.250, 0.168, 0.336)
Eu (0.250, 0.168, 0.832)
Eu (0.750, 0.336, 0.168)
Eu (0.750, 0.832, 0.664)
Eu (0.750, 0.832, 0.168)

***

(2)
Entry from Alexandria via LeMat-Bulk: a relaxed structure of SiTe2W (GGA-PBEsol).

Its calculated total energy is -6.5315 eV/atom.

a b c (Å): 3.566 3.566 7.296
angles (deg): 90.00 90.00 90.00
Fractional coordinates of all 4 atoms:
Si (0.000, 0.000, 0.500)
Te (0.500, 0.000, 0.799)
Te (0.000, 0.500, 0.201)
W (0.500, 0.500, 0.500)

***

(3)
Entry from Alexandria via LeMat-Bulk: a relaxed structure of BeAlCr3 (GGA-PBEsol).

The value obtained for the energy of formation is 1.845 eV per atom.

a b c (Å): 4.397 4.397 4.397
angles (deg): 90.00 90.00 90.00
Fractional coordinates of all 5 atoms:
Cr (0.000, 0.500, 0.000)
Cr (0.000, 0.000, 0.500)
Cr (0.500, 0.000, 0.000)
Al (0.000, 0.000, 0.000)
Be (0.500, 0.500, 0.500)

***

(4)
Entry from Alexandria via LeMat-Bulk: a relaxed structure of MgTlBr (GGA-PBEsol).

Its calculated total energy is -2.1441 eV/atom.

a b c (Å): 5.303 5.303 5.303
angles (deg): 60.00 60.00 60.00
Fractional coordinates of all 3 atoms:
Br (0.250, 0.250, 0.250)
Mg (0.000, 0.000, 0.000)
Tl (0.500, 0.500, 0.500)

***

(5)
Entry from Alexandria via LeMat-Bulk: a relaxed structure of BeCuSi (GGA-PBEsol).

Its calculated total energy is -4.5981 eV/atom.

a b c (Å): 2.519 2.519 6.237
angles (deg): 111.77 111.77 84.74
Fractional coordinates of all 3 atoms:
Be (0.035, 0.035, 0.978)
Si (0.660, 0.660, 0.326)
Cu (0.305, 0.305, 0.696)

***

(6)
Entry from Alexandria via LeMat-Bulk: a relaxed structure of TiIr2N (GGA-PBEsol).

Its calculated total energy is -8.9320 eV/atom.

a b c (Å): 5.135 5.135 6.027
angles (deg): 115.21 115.21 90.00
Fractional coordinates of all 8 atoms:
N (0.750, 0.250, 0.500)
N (0.500, 0.500, 0.000)
Ir (0.786, 0.375, 0.250)
Ir (0.464, 0.875, 0.250)
Ir (0.625, 0.536, 0.750)
Ir (0.125, 0.214, 0.750)
Ti (0.250, 0.750, 0.500)
Ti (0.000, 0.000, 0.000)

***

(7)
Entry from Alexandria via LeMat-Bulk: a relaxed structure of RbAgS2 (GGA-PBEsol).

Its calculated total energy is -3.6170 eV/atom.

a b c (Å): 5.081 5.081 9.144
angles (deg): 106.13 106.13 90.00
Fractional coordinates of all 8 atoms:
S (0.083, 0.375, 0.250)
S (0.167, 0.875, 0.250)
S (0.625, 0.833, 0.750)
S (0.125, 0.917, 0.750)
Rb (0.750, 0.250, 0.500)
Rb (0.500, 0.500, 0.000)
Ag (0.250, 0.750, 0.500)
Ag (0.000, 0.000, 0.000)

***

(8)
Entry from Alexandria via LeMat-Bulk: a relaxed structure of Cu13Se8 (GGA-PBEsol).

Its calculated total energy is -4.1831 eV/atom.

a b c (Å): 7.927 7.927 7.927
angles (deg): 60.00 60.00 60.00
Fractional coordinates of all 21 atoms:
Cu (0.757, 0.243, 0.243)
Cu (0.243, 0.757, 0.243)
Cu (0.757, 0.757, 0.243)
Cu (0.243, 0.243, 0.757)
Cu (0.757, 0.243, 0.757)
Cu (0.243, 0.757, 0.757)
Cu (0.488, 0.012, 0.012)
Cu (0.012, 0.488, 0.012)
Cu (0.488, 0.488, 0.012)
Cu (0.012, 0.012, 0.488)
Cu (0.012, 0.488, 0.488)
Cu (0.488, 0.012, 0.488)
Cu (0.000, 0.000, 0.000)
Se (0.868, 0.868, 0.395)
Se (0.868, 0.395, 0.868)
Se (0.395, 0.868, 0.868)
Se (0.868, 0.868, 0.868)
Se (0.381, 0.381, 0.381)
Se (0.858, 0.381, 0.381)
Se (0.381, 0.858, 0.381)
Se (0.381, 0.381, 0.858)

***

(9)
Entry from Alexandria via LeMat-Bulk: a relaxed structure of LaRe2Tc2 (GGA-PBEsol).

The value obtained for the energy of formation is 0.116 eV per atom.

a b c (Å): 4.313 4.313 5.981
angles (deg): 111.13 111.13 90.00
Fractional coordinates of all 5 atoms:
Re (0.374, 0.374, 0.749)
Re (0.626, 0.626, 0.251)
Tc (0.250, 0.750, 0.500)
Tc (0.750, 0.250, 0.500)
La (0.000, 0.000, 0.000)

***

(10)
Entry from Alexandria via LeMat-Bulk: a relaxed structure of NaNb2H (GGA-PBEsol).

Its calculated total energy is -5.9149 eV/atom.

a b c (Å): 5.891 5.891 5.891
angles (deg): 60.00 60.00 60.00
Fractional coordinates of all 8 atoms:
Na (0.750, 0.750, 0.750)
Na (0.500, 0.500, 0.500)
Nb (0.125, 0.125, 0.625)
Nb (0.125, 0.125, 0.125)
Nb (0.625, 0.125, 0.125)
Nb (0.125, 0.625, 0.125)
H (0.250, 0.250, 0.250)
H (0.000, 0.000, 0.000)

***

(11)
Entry from Alexandria via LeMat-Bulk: a relaxed structure of TaAl3 (GGA-PBEsol).

The value obtained for the energy of formation is -0.235 eV per atom.

a b c (Å): 3.867 3.867 8.782
angles (deg): 102.72 102.72 90.00
Fractional coordinates of all 8 atoms:
Al (0.000, 0.500, 0.000)
Al (0.500, 0.000, 0.000)
Al (0.750, 0.250, 0.500)
Al (0.250, 0.750, 0.500)
Al (0.878, 0.878, 0.755)
Al (0.122, 0.122, 0.245)
Ta (0.624, 0.624, 0.248)
Ta (0.376, 0.376, 0.752)

***

(12)
Entry from Alexandria via LeMat-Bulk: a relaxed structure of BaMnPS2 (GGA-PBEsol).

Its calculated total energy is -6.0789 eV/atom.

a b c (Å): 4.387 4.832 4.832
angles (deg): 90.00 90.00 90.00
Fractional coordinates of all 5 atoms:
P (0.500, 0.000, 0.000)
S (0.000, 0.000, 0.500)
S (0.000, 0.500, 0.000)
Mn (0.000, 0.000, 0.000)
Ba (0.500, 0.500, 0.500)

***

(13)
Entry from Alexandria via LeMat-Bulk: a relaxed structure of Pm2CdGa (GGA-PBEsol).

The value obtained for the energy of formation is -0.456 eV per atom.

a b c (Å): 5.213 5.213 5.213
angles (deg): 60.00 60.00 60.00
Fractional coordinates of all 4 atoms:
Pm (0.250, 0.250, 0.250)
Pm (0.750, 0.750, 0.750)
Ga (0.000, 0.000, 0.000)
Cd (0.500, 0.500, 0.500)

***

(14)
Entry from Alexandria via LeMat-Bulk: a relaxed structure of YScHg2 (GGA-PBEsol).

The value obtained for the energy of formation is -0.574 eV per atom.

a b c (Å): 3.546 3.546 7.176
angles (deg): 90.00 90.00 90.00
Fractional coordinates of all 4 atoms:
Y (0.500, 0.500, 0.500)
Sc (0.500, 0.500, 0.000)
Hg (0.000, 0.000, 0.772)
Hg (0.000, 0.000, 0.228)

***

(15)
Entry from Alexandria via LeMat-Bulk: a relaxed structure of BaPRu2 (GGA-PBEsol).

The value obtained for the energy of formation is 0.797 eV per atom.

a b c (Å): 3.574 4.398 4.398
angles (deg): 90.00 90.00 90.00
Fractional coordinates of all 4 atoms:
Ba (0.500, 0.500, 0.500)
P (0.500, 0.000, 0.000)
Ru (0.000, 0.000, 0.500)
Ru (0.000, 0.500, 0.000)

***

(16)
Entry from Alexandria via LeMat-Bulk: a relaxed structure of La2SiH2 (GGA-PBEsol).

Its calculated total energy is -4.7253 eV/atom.

a b c (Å): 3.146 7.740 7.740
angles (deg): 90.00 90.00 90.00
Fractional coordinates of all 10 atoms:
H (0.500, 0.106, 0.606)
H (0.500, 0.606, 0.894)
H (0.500, 0.894, 0.394)
H (0.500, 0.394, 0.106)
Si (0.000, 0.000, 0.000)
Si (0.000, 0.500, 0.500)
La (0.000, 0.342, 0.842)
La (0.000, 0.842, 0.658)
La (0.000, 0.658, 0.158)
La (0.000, 0.158, 0.342)

***

(17)
Entry from Alexandria via LeMat-Bulk: a relaxed structure of SrCaSb2 (GGA-PBEsol).

Its calculated total energy is -4.1444 eV/atom.

a b c (Å): 4.785 4.485 7.187
angles (deg): 108.18 118.86 90.00
Fractional coordinates of all 4 atoms:
Sb (0.909, 0.025, 0.050)
Sb (0.844, 0.225, 0.451)
Ca (0.364, 0.752, 0.504)
Sr (0.382, 0.497, 0.994)

***

(18)
Entry from Alexandria via LeMat-Bulk: a relaxed structure of AsIrSe2 (GGA-PBEsol).

Its calculated total energy is -5.3282 eV/atom.

a b c (Å): 2.934 3.962 6.602
angles (deg): 90.00 90.00 90.00
Fractional coordinates of all 4 atoms:
As (0.000, 0.000, 0.556)
Ir (0.500, 0.500, 0.694)
Se (0.000, 0.000, 0.940)
Se (0.500, 0.500, 0.311)

***

(19)
Entry from Alexandria via LeMat-Bulk: a relaxed structure of BaLi4Hg (GGA-PBEsol).

The value obtained for the energy of formation is -0.133 eV per atom.

a b c (Å): 5.780 5.780 5.780
angles (deg): 60.00 60.00 60.00
Fractional coordinates of all 6 atoms:
Ba (0.750, 0.750, 0.750)
Hg (0.000, 0.000, 0.000)
Li (0.885, 0.372, 0.372)
Li (0.372, 0.372, 0.372)
Li (0.372, 0.372, 0.885)
Li (0.372, 0.885, 0.372)

***

(20)
Entry from Alexandria via LeMat-Bulk: a relaxed structure of NbTlCo2Sb (GGA-PBEsol).

Its calculated total energy is -5.5518 eV/atom.

a b c (Å): 4.552 4.552 5.148
angles (deg): 90.00 90.00 90.00
Fractional coordinates of all 5 atoms:
Sb (0.000, 0.000, 0.000)
Tl (0.500, 0.500, 0.500)
Co (0.000, 0.500, 0.000)
Co (0.500, 0.000, 0.000)
Nb (0.000, 0.000, 0.500)

***

(21)
Entry from Alexandria via LeMat-Bulk: a relaxed structure of AlSb2Mo (GGA-PBEsol).

Its calculated total energy is -6.0374 eV/atom.

a b c (Å): 3.470 4.700 6.292
angles (deg): 107.41 90.00 111.66
Fractional coordinates of all 4 atoms:
Sb (0.997, 0.994, 0.093)
Sb (0.265, 0.529, 0.660)
Mo (0.748, 0.496, 0.308)
Al (0.490, 0.981, 0.440)

***

(22)
Entry from Alexandria via LeMat-Bulk: a relaxed structure of Sr2HgAs (GGA-PBEsol).

The value obtained for the energy of formation is -0.861 eV per atom.

a b c (Å): 4.451 4.573 6.227
angles (deg): 90.00 110.94 90.00
Fractional coordinates of all 4 atoms:
Sr (0.989, 0.500, 0.979)
Sr (0.261, 0.000, 0.522)
As (0.542, 0.000, 0.084)
Hg (0.708, 0.500, 0.415)

***

(23)
Entry from Alexandria via LeMat-Bulk: a relaxed structure of Zn2FeRe (GGA-PBEsol).

The value obtained for the energy of formation is 0.220 eV per atom.

a b c (Å): 3.440 3.843 3.950
angles (deg): 90.00 90.00 90.00
Fractional coordinates of all 4 atoms:
Fe (0.500, 0.000, 0.500)
Re (0.000, 0.500, 0.500)
Zn (0.000, 0.000, 0.000)
Zn (0.500, 0.500, 0.000)

***

(24)
Entry from Alexandria via LeMat-Bulk: a relaxed structure of PPtAu (GGA-PBEsol).

The value obtained for the energy of formation is 0.072 eV per atom.

a b c (Å): 4.124 4.124 4.124
angles (deg): 60.00 60.00 60.00
Fractional coordinates of all 3 atoms:
Au (0.500, 0.500, 0.500)
P (0.250, 0.250, 0.250)
Pt (0.000, 0.000, 0.000)

***

(25)
Entry from Alexandria via LeMat-Bulk: a relaxed structure of Sc2FeAu (GGA-PBEsol).

The value obtained for the energy of formation is -0.129 eV per atom.

a b c (Å): 3.190 3.190 8.183
angles (deg): 78.76 78.76 60.00
Fractional coordinates of all 4 atoms:
Au (0.000, 0.000, 0.000)
Fe (0.500, 0.500, 0.500)
Sc (0.241, 0.241, 0.278)
Sc (0.759, 0.759, 0.722)

***

(26)
Entry from Alexandria via LeMat-Bulk: a relaxed structure of CdTe4Ir (GGA-PBEsol).

Its calculated total energy is -3.0967 eV/atom.

a b c (Å): 6.049 6.049 6.049
angles (deg): 60.00 60.00 60.00
Fractional coordinates of all 6 atoms:
Ir (0.000, 0.000, 0.000)
Te (0.374, 0.374, 0.374)
Te (0.374, 0.374, 0.877)
Te (0.877, 0.374, 0.374)
Te (0.374, 0.877, 0.374)
Cd (0.750, 0.750, 0.750)

***

(27)
Entry from Alexandria via LeMat-Bulk: a relaxed structure of LiZnRh2 (GGA-PBEsol).

The value obtained for the energy of formation is -0.173 eV per atom.

a b c (Å): 2.803 4.474 4.965
angles (deg): 116.78 106.39 90.00
Fractional coordinates of all 4 atoms:
Zn (0.500, 0.000, 0.000)
Rh (0.754, 0.754, 0.507)
Rh (0.246, 0.246, 0.493)
Li (0.000, 0.500, 0.000)

***

(28)
Entry from Alexandria via LeMat-Bulk: a relaxed structure of LiMgHg (GGA-PBEsol).

The value obtained for the energy of formation is -0.327 eV per atom.

a b c (Å): 3.485 3.485 5.197
angles (deg): 109.59 109.59 90.00
Fractional coordinates of all 3 atoms:
Mg (0.667, 0.667, 0.333)
Hg (0.991, 0.991, 0.982)
Li (0.342, 0.342, 0.684)

***

| no. | magnetic moment (μB per cell) |
| --- | --- |
| 1 | 44.685 |
| 2 | 0.000 |
| 3 | 7.713 |
| 4 | 0.000 |
| 5 | 0.000 |
| 6 | 0.000 |
| 7 | 0.000 |
| 8 | 0.001 |
| 9 | 0.000 |
| 10 | 0.001 |
| 11 | 0.000 |
| 12 | 2.563 |
| 13 | 0.001 |
| 14 | 0.144 |
| 15 | 0.004 |
| 16 | 0.000 |
| 17 | 0.000 |
| 18 | 0.000 |
| 19 | 0.000 |
| 20 | 2.681 |
| 21 | 0.000 |
| 22 | 0.000 |
| 23 | 2.995 |
| 24 | 0.000 |
| 25 | 0.635 |
| 26 | 0.251 |
| 27 | 0.000 |
| 28 | 0.000 |